KMgN2O | PBE | relaxed

Summary:
The density of states at the Fermi level is 0.372 states/eV per atom. The calculated volume is 20.665 Å³/atom. Its formation energy (no corrections) is 1.865 eV per atom.

Unit cell a=4.7724 b=4.7724 c=4.5367 alpha=90.00 beta=90.00 gamma=90.00
Fractional positions:
K  0.0000  0.0000  0.0000
Mg  0.5000  0.5000  0.5000
N  0.0000  0.5000  0.0000
N  0.5000  0.0000  0.0000
O  0.0000  0.0000  0.5000